# 1
# PBE-GGA Ce2PrDy3Te6, optimized geometry
# total DFT energy (no corrections): -0.2005 hartree per atom
# E_form (uncorrected): -1.347 eV per atom
data_Ce2PrDy3Te6
_chemical_formula_sum 'Ce4 Pr2 Dy6 Te12'
_symmetry_space_group_name_H-M 'C 1 2/m 1'
_symmetry_Int_Tables_number 12
_cell_length_a 19.412
_cell_length_b 4.384
_cell_length_c 8.959
_cell_angle_alpha 90.00
_cell_angle_beta 104.63
_cell_angle_gamma 90.00
loop_
_symmetry_equiv_pos_as_xyz
'x,y,z'
'-x,-y,-z'
'-x,y,-z'
'x,-y,z'
'x+1/2,y+1/2,z'
'-x+1/2,-y+1/2,-z'
'-x+1/2,y+1/2,-z'
'x+1/2,-y+1/2,z'
loop_
_atom_site_label
_atom_site_type_symbol
_atom_site_fract_x
_atom_site_fract_y
_atom_site_fract_z
Ce1 Ce 0.167 0.000 0.334
Pr1 Pr 0.000 0.500 0.000
Dy1 Dy 0.000 0.500 0.500
Dy2 Dy 0.165 0.000 0.832
Te1 Te 0.002 0.000 0.741
Te2 Te 0.164 0.500 0.590
Te3 Te 0.171 0.500 0.078

---

# 2
# PBE-GGA PuHfHg, optimized geometry
# calculated formation energy: 0.1335 eV per atom
# total DFT energy (no corrections): -0.2963 hartree per atom
data_PuHfHg
_chemical_formula_sum 'Pu1 Hf1 Hg1'
_symmetry_space_group_name_H-M 'P 3 m 1'
_symmetry_Int_Tables_number 156
_cell_length_a 5.0947
_cell_length_b 5.0947
_cell_length_c 3.1921
_cell_angle_alpha 90.00
_cell_angle_beta 90.00
_cell_angle_gamma 120.00
loop_
_symmetry_equiv_pos_as_xyz
'x,y,z'
'-y,x-y,z'
'-x+y,-x,z'
'-y,-x,z'
'-x+y,y,z'
'x,x-y,z'
loop_
_atom_site_label
_atom_site_type_symbol
_atom_site_fract_x
_atom_site_fract_y
_atom_site_fract_z
Pu1 Pu 0.0000 0.0000 0.0000
Hf1 Hf 0.3333 0.6667 0.5010
Hg1 Hg 0.6667 0.3333 0.4989

---

# 3
# PBE-GGA VAs2BrCl, optimized geometry
# total DFT energy (no corrections): -0.1586 hartree per atom
# E_form (uncorrected): 0.071 eV per atom
data_VAs2BrCl
_chemical_formula_sum 'V1 As2 Br1 Cl1'
_symmetry_space_group_name_H-M 'P 4/m m m'
_symmetry_Int_Tables_number 123
_symmetry_space_group_name_Hall '-P 4 2'
_cell_length_a 4.800
_cell_length_b 4.800
_cell_length_c 4.878
_cell_angle_alpha 90.00
_cell_angle_beta 90.00
_cell_angle_gamma 90.00
loop_
_atom_site_label
_atom_site_type_symbol
_atom_site_fract_x
_atom_site_fract_y
_atom_site_fract_z
V1 V 0.000 0.000 0.000
As1 As 0.000 0.500 0.000
Br1 Br 0.000 0.000 0.500
Cl1 Cl 0.500 0.500 0.500

---

# 4
# PBE-GGA ZnReMo2, optimized geometry
# calculated formation energy: 0.1641 eV per atom
# total DFT energy (no corrections): -0.3191 hartree per atom
data_ZnReMo2
_chemical_formula_sum 'Zn2 Re2 Mo4'
_symmetry_space_group_name_H-M 'I m m m'
_symmetry_Int_Tables_number 71
_symmetry_space_group_name_Hall '-I 2 2'
_cell_length_a 3.177
_cell_length_b 4.339
_cell_length_c 8.839
_cell_angle_alpha 90.00
_cell_angle_beta 90.00
_cell_angle_gamma 90.00
loop_
_atom_site_label
_atom_site_type_symbol
_atom_site_fract_x
_atom_site_fract_y
_atom_site_fract_z
Zn1 Zn 0.000 0.000 0.000
Re1 Re 0.000 0.000 0.500
Mo1 Mo 0.000 0.500 0.240

---

# 5
# PBE-GGA Pm8CuTe4P3, optimized geometry
# total DFT energy (no corrections): -0.2126 hartree per atom
# E_form (uncorrected): -1.355 eV per atom
data_Pm8CuTe4P3
_chemical_formula_sum 'Pm24 Cu3 Te12 P9'
_symmetry_space_group_name_H-M 'R -3 m'
_symmetry_Int_Tables_number 166
_symmetry_space_group_name_Hall '-R 3 2"'
_cell_length_a 8.5093
_cell_length_b 8.5093
_cell_length_c 21.5977
_cell_angle_alpha 90.00
_cell_angle_beta 90.00
_cell_angle_gamma 120.00
loop_
_atom_site_label
_atom_site_type_symbol
_atom_site_fract_x
_atom_site_fract_y
_atom_site_fract_z
Pm1 Pm 0.0000 0.0000 0.2371
Pm2 Pm 0.0050 0.5025 0.7603
Cu1 Cu 0.0000 0.0000 0.5000
Te1 Te 0.0000 0.0000 0.0000
Te2 Te 0.0000 0.5000 0.0000
P1 P 0.0000 0.5000 0.5000

---

# 6
# PBE-GGA NbI2, optimized geometry
# total DFT energy (no corrections): -0.1742 hartree per atom
# E_form (uncorrected): -0.351 eV per atom
data_NbI2
_chemical_formula_sum 'Nb4 I8'
_symmetry_space_group_name_H-M 'C 1 2/m 1'
_symmetry_Int_Tables_number 12
_cell_length_a 15.836
_cell_length_b 3.798
_cell_length_c 6.581
_cell_angle_alpha 90.00
_cell_angle_beta 103.68
_cell_angle_gamma 90.00
loop_
_symmetry_equiv_pos_as_xyz
'x,y,z'
'-x,-y,-z'
'-x,y,-z'
'x,-y,z'
'x+1/2,y+1/2,z'
'-x+1/2,-y+1/2,-z'
'-x+1/2,y+1/2,-z'
'x+1/2,-y+1/2,z'
loop_
_atom_site_label
_atom_site_type_symbol
_atom_site_fract_x
_atom_site_fract_y
_atom_site_fract_z
Nb1 Nb 0.242 0.000 0.330
I1 I 0.112 0.500 0.345
I2 I 0.148 0.000 0.868

---

# 7
# PBE-GGA CePuSnGe, optimized geometry
# calculated formation energy: -0.3818 eV per atom
# total DFT energy (no corrections): -0.2794 hartree per atom
data_CePuSnGe
_chemical_formula_sum 'Ce4 Pu4 Sn4 Ge4'
_symmetry_space_group_name_H-M 'F -4 3 m'
_symmetry_Int_Tables_number 216
_symmetry_space_group_name_Hall 'F -4 2 3'
_cell_length_a 7.428
_cell_length_b 7.428
_cell_length_c 7.428
_cell_angle_alpha 90.00
_cell_angle_beta 90.00
_cell_angle_gamma 90.00
loop_
_atom_site_label
_atom_site_type_symbol
_atom_site_fract_x
_atom_site_fract_y
_atom_site_fract_z
Ce1 Ce 0.000 0.000 0.000
Pu1 Pu 0.000 0.000 0.500
Sn1 Sn 0.250 0.250 0.250
Ge1 Ge 0.250 0.250 0.750

---

# 8
# PBE-GGA Cs2LaSe2, optimized geometry
# total DFT energy (no corrections): -0.1417 hartree per atom
# E_form (uncorrected): -1.135 eV per atom
data_Cs2LaSe2
_chemical_formula_sum 'Cs4 La2 Se4'
_symmetry_space_group_name_H-M 'P 4/m b m'
_symmetry_Int_Tables_number 127
_symmetry_space_group_name_Hall '-P 4 2ab'
_cell_length_a 8.423
_cell_length_b 8.423
_cell_length_c 5.634
_cell_angle_alpha 90.00
_cell_angle_beta 90.00
_cell_angle_gamma 90.00
loop_
_atom_site_label
_atom_site_type_symbol
_atom_site_fract_x
_atom_site_fract_y
_atom_site_fract_z
Cs1 Cs 0.146 0.354 0.000
La1 La 0.000 0.000 0.500
Se1 Se 0.183 0.683 0.500